{
  "formula": "Ca4Al6MoO16",
  "functional": "meta-GGA SCAN",
  "state": "single point on PBEsol structure",
  "lattice_angstrom": [[26.134, 0.000, 0.000], [0.000, 6.543, 4.661], [0.000, -6.543, 4.661]],
  "species": ["Ca", "Ca", "Ca", "Ca", "Ca", "Ca", "Ca", "Ca", "Ca", "Ca", "Ca", "Ca", "Ca", "Ca", "Ca", "Ca", "Al", "Al", "Al", "Al", "Al", "Al", "Al", "Al", "Al", "Al", "Al", "Al", "Al", "Al", "Al", "Al", "Al", "Al", "Al", "Al", "Al", "Al", "Al", "Al", "Mo", "Mo", "Mo", "Mo", "O", "O", "O", "O", "O", "O", "O", "O", "O", "O", "O", "O", "O", "O", "O", "O", "O", "O", "O", "O", "O", "O", "O", "O", "O", "O", "O", "O", "O", "O", "O", "O", "O", "O", "O", "O", "O", "O", "O", "O", "O", "O", "O", "O", "O", "O", "O", "O", "O", "O", "O", "O", "O", "O", "O", "O", "O", "O", "O", "O", "O", "O", "O", "O"],
  "fractional_positions": [[0.018, 0.232, 0.768], [0.120, 0.939, 0.969], [0.138, 0.446, 0.388], [0.250, 0.189, 0.716], [0.250, 0.689, 0.216], [0.362, 0.946, 0.888], [0.380, 0.439, 0.469], [0.482, 0.732, 0.268], [0.518, 0.268, 0.732], [0.620, 0.469, 0.439], [0.638, 0.888, 0.946], [0.750, 0.216, 0.689], [0.750, 0.716, 0.189], [0.862, 0.388, 0.446], [0.880, 0.969, 0.939], [0.982, 0.768, 0.232], [0.000, 0.473, 0.473], [0.000, 0.957, 0.957], [0.059, 0.842, 0.571], [0.063, 0.112, 0.338], [0.185, 0.827, 0.578], [0.190, 0.064, 0.316], [0.243, 0.941, 0.948], [0.257, 0.441, 0.448], [0.310, 0.564, 0.816], [0.315, 0.327, 0.078], [0.437, 0.612, 0.838], [0.441, 0.342, 0.071], [0.500, 0.457, 0.457], [0.500, 0.973, 0.973], [0.559, 0.071, 0.342], [0.563, 0.838, 0.612], [0.685, 0.078, 0.327], [0.690, 0.816, 0.564], [0.743, 0.448, 0.441], [0.757, 0.948, 0.941], [0.810, 0.316, 0.064], [0.815, 0.578, 0.827], [0.937, 0.338, 0.112], [0.941, 0.571, 0.842], [0.138, 0.460, 0.938], [0.362, 0.960, 0.438], [0.638, 0.438, 0.960], [0.862, 0.938, 0.460], [0.016, 0.681, 0.454], [0.033, 0.966, 0.150], [0.046, 0.029, 0.507], [0.048, 0.936, 0.799], [0.055, 0.341, 0.405], [0.091, 0.299, 0.936], [0.108, 0.647, 0.917], [0.122, 0.753, 0.540], [0.126, 0.097, 0.268], [0.171, 0.515, 0.142], [0.180, 0.374, 0.761], [0.194, 0.953, 0.802], [0.209, 0.902, 0.118], [0.209, 0.971, 0.474], [0.212, 0.277, 0.370], [0.220, 0.632, 0.481], [0.280, 0.132, 0.981], [0.288, 0.777, 0.870], [0.291, 0.402, 0.618], [0.291, 0.471, 0.974], [0.306, 0.453, 0.302], [0.320, 0.874, 0.261], [0.329, 0.015, 0.642], [0.374, 0.597, 0.768], [0.378, 0.253, 0.040], [0.392, 0.147, 0.417], [0.409, 0.799, 0.436], [0.445, 0.841, 0.905], [0.452, 0.436, 0.299], [0.454, 0.529, 0.007], [0.467, 0.466, 0.650], [0.484, 0.181, 0.954], [0.516, 0.954, 0.181], [0.533, 0.650, 0.466], [0.546, 0.007, 0.529], [0.548, 0.299, 0.436], [0.555, 0.905, 0.841], [0.591, 0.436, 0.799], [0.608, 0.417, 0.147], [0.622, 0.040, 0.253], [0.626, 0.768, 0.597], [0.671, 0.642, 0.015], [0.680, 0.261, 0.874], [0.694, 0.302, 0.453], [0.709, 0.618, 0.402], [0.709, 0.974, 0.471], [0.712, 0.870, 0.777], [0.720, 0.981, 0.132], [0.780, 0.481, 0.632], [0.788, 0.370, 0.277], [0.791, 0.118, 0.902], [0.791, 0.474, 0.971], [0.806, 0.802, 0.953], [0.820, 0.761, 0.374], [0.829, 0.142, 0.515], [0.874, 0.268, 0.097], [0.878, 0.540, 0.753], [0.892, 0.917, 0.647], [0.909, 0.936, 0.299], [0.945, 0.405, 0.341], [0.952, 0.799, 0.936], [0.954, 0.507, 0.029], [0.967, 0.150, 0.966], [0.984, 0.454, 0.681]],
  "polymorph_energy_mev_per_atom": 0,
  "density_g_cm3": 2.8,
  "e_tot_ev_per_atom": -11.350,
  "e_form_raw_ev_per_atom": -3.21
}